The following is a PBE calculation of a geometry-optimized Tm5PtPb4 structure, from the Alexandria database.

a b c (Å): 6.181 7.466 7.466
angles (deg): 80.14 65.55 65.55
Fractional coordinates of all 10 atoms:
Pb: 0.401 0.390 0.767
Pb: 0.558 0.610 0.233
Tm: 0.881 0.365 0.838
Pt: 0.079 0.000 0.000
Tm: 0.719 0.162 0.365
Pb: 0.168 0.233 0.390
Tm: 0.084 0.635 0.162
Tm: 0.246 0.838 0.635
Tm: 0.583 0.000 0.000
Pb: 0.791 0.767 0.610

Computed properties:
Calculated formation energy = -0.43 eV per atom
Crystal system = tetragonal
Raw total energy = -4.7494 eV/atom